Entry 1:
# Na3Zn2Au7 (PBE, relaxed)
data_Na3Zn2Au7
_cell_length_a 5.7157
_cell_length_b 5.7157
_cell_length_c 26.1816
_cell_angle_alpha 90.00
_cell_angle_beta 90.00
_cell_angle_gamma 120.00
_symmetry_space_group_name_H-M 'R -3 m'
_symmetry_Int_Tables_number 166
_symmetry_space_group_name_Hall '-R 3 2"'
loop_
_atom_site_label
_atom_site_type_symbol
_atom_site_fract_x
_atom_site_fract_y
_atom_site_fract_z
Na1 Na 0.0000 0.0000 0.0000
Na2 Na 0.0000 0.0000 0.1412
Zn1 Zn 0.0000 0.0000 0.3328
Au1 Au 0.0000 0.0000 0.5000
Au2 Au 0.0030 0.5015 0.9207
# Crystal system: trigonal
# Total DFT energy (no corrections) in eV/atom: -2.756
# Magnetization in μB per cell: 0.00
# Energy of formation from the pure elements in eV per atom: -0.302
# DOS at the Fermi energy in states/eV/cell: 13.59
# ρ in g/cm³: 10.6

Entry 2:
# NaZn2Au8 (PBE, relaxed)
data_NaZn2Au8
_cell_length_a 14.7612
_cell_length_b 4.1174
_cell_length_c 6.7720
_cell_angle_alpha 90.00
_cell_angle_beta 109.47
_cell_angle_gamma 90.00
_symmetry_space_group_name_H-M 'C 1 2/m 1'
_symmetry_Int_Tables_number 12
loop_
_symmetry_equiv_pos_as_xyz
'x,y,z'
'-x,-y,-z'
'-x,y,-z'
'x,-y,z'
'x+1/2,y+1/2,z'
'-x+1/2,-y+1/2,-z'
'-x+1/2,y+1/2,-z'
'x+1/2,-y+1/2,z'
loop_
_atom_site_label
_atom_site_type_symbol
_atom_site_fract_x
_atom_site_fract_y
_atom_site_fract_z
Na1 Na 0.0000 0.0000 0.0000
Zn1 Zn 0.2207 0.5000 0.6534
Au1 Au 0.0454 0.5000 0.7257
Au2 Au 0.1018 0.0000 0.4635
Au3 Au 0.1490 0.5000 0.2160
Au4 Au 0.1804 0.0000 0.9244
# Crystal system: monoclinic
# Total DFT energy (no corrections) in eV/atom: -2.891
# Distance to the lowest polymorph of the same formula in meV/atom: 0
# Magnetization in μB per cell: 0.00
# Energy of formation from the pure elements in eV per atom: -0.156
# DOS at the Fermi energy in states/eV/cell: 7.31
# ρ in g/cm³: 14.8

The highest DOS at the Fermi energy belongs to which entry? Na3Zn2Au7